The following is a DFT calculation (GGA-PBE) of Pm8GeRu2 after structural relaxation.

Computed properties:
Energy of formation (eV per atom): -0.24
Density of states at the Fermi level (states/eV per cell): 10.83
Spin magnetization (μB/cell): 0.00

Lattice parameters (Å, degrees): 9.3289 9.3289 7.1377 107.33 107.33 31.19
Positions (direct):
Pm1 0.0361 0.0361 0.2772
Pm2 0.2008 0.2008 0.8147
Pm3 0.3277 0.3277 0.5382
Pm4 0.4044 0.4044 0.0448
Pm5 0.5956 0.5956 0.9552
Pm6 0.6723 0.6723 0.4618
Pm7 0.7992 0.7992 0.1853
Pm8 0.9639 0.9639 0.7228
Ge1 0.5000 0.5000 0.5000
Ru1 0.1888 0.1888 0.1991
Ru2 0.8112 0.8112 0.8009

The following is a DFT calculation (GGA-PBE) of Pm7GeRu4 after structural relaxation.

Computed properties:
Energy of formation (eV per atom): -0.05
Density of states at the Fermi level (states/eV per cell): 9.41
Spin magnetization (μB/cell): 0.00

Lattice parameters (Å, degrees): 7.4685 7.4685 9.8834 123.50 123.50 43.49
Positions (direct):
Pm1 0.0000 0.0000 0.0000
Pm2 0.1806 0.1806 0.6326
Pm3 0.2926 0.2926 0.1201
Pm4 0.4245 0.4245 0.6399
Pm5 0.5755 0.5755 0.3601
Pm6 0.7074 0.7074 0.8799
Pm7 0.8194 0.8194 0.3674
Ge1 0.5000 0.5000 0.0000
Ru1 0.0692 0.0692 0.7791
Ru2 0.2005 0.2005 0.3550
Ru3 0.7995 0.7995 0.6450
Ru4 0.9308 0.9308 0.2209

The following is a DFT calculation (GGA-PBE) of PmGeRu2 after structural relaxation.

Computed properties:
Energy of formation (eV per atom): -0.15
Density of states at the Fermi level (states/eV per cell): 2.10
Spin magnetization (μB/cell): 0.00

Lattice parameters (Å, degrees): 4.5033 4.5033 3.4058 90.00 90.00 90.00
Positions (direct):
Pm1 0.0000 0.0000 0.0000
Ge1 0.5000 0.5000 0.0000
Ru1 0.0000 0.5000 0.5000
Ru2 0.5000 0.0000 0.5000

Question: Among the records above, which one has the highest energy of formation?
Answer: Pm7GeRu4

Question: The lowest energy of formation belongs to which entry?
Answer: Pm8GeRu2